(1)
# YBeAsBr2 | the Alexandria database | GGA-PBE | relaxed
data_YBeAsBr2
_symmetry_space_group_name_H-M 'P 1'
_symmetry_Int_Tables_number 1
_symmetry_space_group_name_Hall 'P 1'
_cell_length_a 4.580
_cell_length_b 4.580
_cell_length_c 5.329
_cell_angle_alpha 90.00
_cell_angle_beta 90.00
_cell_angle_gamma 90.00
loop_
_atom_site_label
_atom_site_fract_x
_atom_site_fract_y
_atom_site_fract_z
Y1 0.000 0.000 0.000
Be1 0.500 0.500 0.500
As1 0.500 0.500 0.000
Br1 0.000 0.500 0.500
Br2 0.500 0.000 0.500
# Formation energy without anion corrections ... -10.1 kcal/mol of atoms
# Energy above the most stable polymorph in this dataset ... 0 meV per atom
# DFT total energy ... -4.08 eV/atom

=====

(2)
# TbPr2Sm | the Alexandria database | GGA-PBE | relaxed
data_TbPr2Sm
_symmetry_space_group_name_H-M 'P 1'
_symmetry_Int_Tables_number 1
_symmetry_space_group_name_Hall 'P 1'
_cell_length_a 5.702
_cell_length_b 6.986
_cell_length_c 6.986
_cell_angle_alpha 29.80
_cell_angle_beta 90.00
_cell_angle_gamma 90.00
loop_
_atom_site_label
_atom_site_fract_x
_atom_site_fract_y
_atom_site_fract_z
Tb1 0.000 0.000 0.000
Pr1 0.000 0.742 0.742
Pr2 0.500 0.616 0.616
Sm1 0.500 0.362 0.362
# ΔH_f (0 K) ... 56.1 meV per atom
# Energy above the most stable polymorph in this dataset ... 45 meV per atom
# DFT total energy ... -4.67 eV/atom

=====

(3)
# Zr2SbTeI | the Alexandria database | GGA-PBE | relaxed
data_Zr2SbTeI
_symmetry_space_group_name_H-M 'P 1'
_symmetry_Int_Tables_number 1
_symmetry_space_group_name_Hall 'P 1'
_cell_length_a 5.507
_cell_length_b 5.507
_cell_length_c 5.647
_cell_angle_alpha 90.00
_cell_angle_beta 90.00
_cell_angle_gamma 90.00
loop_
_atom_site_label
_atom_site_fract_x
_atom_site_fract_y
_atom_site_fract_z
Zr1 0.000 0.500 0.000
Zr2 0.500 0.000 0.000
Sb1 0.000 0.000 0.000
Te1 0.000 0.000 0.500
I1 0.500 0.500 0.500
# Formation energy without anion corrections ... 15.2 kcal/mol of atoms
# DFT total energy ... -4.52 eV/atom

=====

(4)
# CoCu2IrRu | the Alexandria database | GGA-PBE | relaxed
data_CoCu2IrRu
_symmetry_space_group_name_H-M 'P 1'
_symmetry_Int_Tables_number 1
_symmetry_space_group_name_Hall 'P 1'
_cell_length_a 4.633
_cell_length_b 4.633
_cell_length_c 4.605
_cell_angle_alpha 90.00
_cell_angle_beta 90.00
_cell_angle_gamma 90.00
loop_
_atom_site_label
_atom_site_fract_x
_atom_site_fract_y
_atom_site_fract_z
Co1 0.000 0.000 0.000
Cu1 0.000 0.500 0.500
Cu2 0.500 0.000 0.500
Ir1 0.500 0.500 0.500
Ru1 0.500 0.500 0.000
# ΔH_f (0 K) ... 1616.2 meV per atom
# DFT total energy ... -5.07 eV/atom

=====

In Å³ per atom, the volume values for the records above are, in order, 22.355, 34.575, 34.251, 19.767.